[1]
# Hf3ScTl PBE optimized geometry
data_Hf3ScTl
_chemical_formula_sum 'Hf3 Sc1 Tl1'
_cell_length_a 5.289
_cell_length_b 5.289
_cell_length_c 5.289
_cell_angle_alpha 90.00
_cell_angle_beta 90.00
_cell_angle_gamma 90.00
_symmetry_space_group_name_H-M 'P m -3 m'
_symmetry_Int_Tables_number 221
_symmetry_space_group_name_Hall '-P 4 2 3'
loop_
_atom_site_label
_atom_site_type_symbol
_atom_site_fract_x
_atom_site_fract_y
_atom_site_fract_z
_atom_site_occupancy
Hf1 Hf 0.000 0.000 0.500 1
Sc1 Sc 0.500 0.500 0.500 1
Tl1 Tl 0.000 0.000 0.000 1
# Energy above the most stable polymorph in this dataset ... 0.0050 eV per atom
# Crystal system ... cubic
# Formation energy from the elements ... 1238 meV/atom
# VASP energy ... -6.473 eV per atom

=====

[2]
# MgAl2Mo PBE optimized geometry
data_MgAl2Mo
_chemical_formula_sum 'Mg1 Al2 Mo1'
_cell_length_a 4.177
_cell_length_b 4.177
_cell_length_c 3.697
_cell_angle_alpha 90.00
_cell_angle_beta 90.00
_cell_angle_gamma 90.00
_symmetry_space_group_name_H-M 'P 4/m m m'
_symmetry_Int_Tables_number 123
_symmetry_space_group_name_Hall '-P 4 2'
loop_
_atom_site_label
_atom_site_type_symbol
_atom_site_fract_x
_atom_site_fract_y
_atom_site_fract_z
_atom_site_occupancy
Mg1 Mg 0.000 0.000 0.000 1
Al1 Al 0.000 0.500 0.500 1
Mo1 Mo 0.500 0.500 0.000 1
# Crystal system ... tetragonal
# Formation energy from the elements ... -11 meV/atom
# VASP energy ... -4.989 eV per atom